[1]
Computed, not measured: a geometry-optimized NdDyEr2Sc4 structure at the PBE-GGA level of DFT.

a b c (Å): 4.9126 4.9083 10.4990
angles (deg): 62.14 90.00 90.00
Last column: nearest neighbours and their distance in Å.
Positions (direct):
1 Nd 0.5000 0.5000 0.0000  8 Sc 3.39, 4 Er 3.47
2 Dy 0.0000 0.5000 0.5000  8 Sc 3.36-3.37, 4 Er 3.47
3 Er 0.0000 0.0000 0.0000  8 Sc 3.39, 4 Nd 3.47
4 Er 0.5000 0.0000 0.5000  8 Sc 3.37, 4 Dy 3.47
5 Sc 0.0000 0.7519 0.7481  2 Dy 3.36-3.37, 4 Er 3.37-3.39, 2 Nd 3.39, 4 Sc 3.47
6 Sc 0.0000 0.2481 0.2519  2 Dy 3.36-3.37, 4 Er 3.37-3.39, 2 Nd 3.39, 4 Sc 3.47
7 Sc 0.5000 0.7480 0.2519  4 Er 3.37-3.39, 2 Dy 3.37, 2 Nd 3.39, 4 Sc 3.47
8 Sc 0.5000 0.2520 0.7481  4 Er 3.37-3.39, 2 Dy 3.37, 2 Nd 3.39, 4 Sc 3.47

The density comes out at 6.1 g cm⁻³. The calculation puts the magnetic moment at 0.00 Bohr magnetons per cell. The value obtained for the final energy is -43.4 eV/f.u.

[2]
Computed, not measured: a geometry-optimized K2YTlBi structure at the PBE-GGA level of DFT.

a b c (Å): 6.0629 6.0475 6.0629
angles (deg): 90.00 90.00 90.00
Last column: nearest neighbours and their distance in Å.
Positions (direct):
1 Y 0.0000 0.5000 0.0000  2 Tl 3.02
2 Tl 0.0000 0.0000 0.0000  2 Y 3.02, 4 K 3.03
3 K 0.0000 0.0000 0.5000  2 Tl 3.03
4 K 0.5000 0.0000 0.0000  2 Tl 3.03
5 Bi 0.5000 0.5000 0.5000  8 K 4.28, 4 Y 4.29

The density comes out at 4.3 g cm⁻³. The calculation puts the magnetic moment at 0.00 Bohr magnetons per cell. The value obtained for the final energy is -13.3 eV/f.u.

[3]
Computed, not measured: a geometry-optimized MgZn2Si structure at the PBE-GGA level of DFT.

a b c (Å): 3.1061 3.9088 5.4689
angles (deg): 90.00 90.00 90.00
Last column: nearest neighbours and their distance in Å.
Positions (direct):
1 Mg 0.0000 0.0000 0.5051  6 Zn 2.71-2.90, 4 Si 2.86
2 Si 0.5000 0.5000 0.7587  6 Zn 2.61-2.86, 4 Mg 2.86
3 Zn 0.0000 0.0000 0.0000  2 Mg 2.71-2.76, 4 Zn 2.81, 4 Si 2.82
4 Zn 0.5000 0.5000 0.2361  2 Si 2.61-2.86, 4 Zn 2.81, 4 Mg 2.90

The density comes out at 4.6 g cm⁻³. The calculation puts the energy above the most stable polymorph in this dataset at 3.7 kJ per mole of atoms. The calculation puts the magnetic moment at 0.00 Bohr magnetons per cell. The uncorrected formation energy is 0.10 eV/atom.

[4]
Computed, not measured: a geometry-optimized AlVSi3 structure at the PBE-GGA level of DFT.

a b c (Å): 4.6031 4.6031 4.6031
angles (deg): 90.00 90.00 90.00
Last column: nearest neighbours and their distance in Å.
Positions (direct):
1 Si 0.0000 0.5000 0.0000  2 V 2.30
2 Si 0.0000 0.0000 0.5000  2 V 2.30
3 Si 0.5000 0.0000 0.0000  2 V 2.30
4 Al 0.5000 0.5000 0.5000  12 Si 3.25
5 V 0.0000 0.0000 0.0000  6 Si 2.30

The density comes out at 2.8 g cm⁻³. The calculation puts the energy above the most stable polymorph in this dataset at 0.0 kJ per mole of atoms. The calculation puts the magnetic moment at 0.00 Bohr magnetons per cell. The uncorrected formation energy is 0.48 eV/atom.

[5]
Computed, not measured: a geometry-optimized BaOsSe2 structure at the PBE-GGA level of DFT.

a b c (Å): 4.3213 5.0333 5.8317
angles (deg): 70.19 90.00 90.00
Last column: nearest neighbours and their distance in Å.
Positions (direct):
1 Ba 0.0000 0.5334 0.4424  7 Se 3.32-3.43
2 Os 0.5000 0.0004 0.9224  3 Se 2.35-2.36
3 Se 0.0000 0.8711 0.8431  2 Os 2.35
4 Se 0.5000 0.0951 0.2921  1 Os 2.36

The density comes out at 6.8 g cm⁻³. The calculation puts the energy above the most stable polymorph in this dataset at 24.0 kJ per mole of atoms. The calculation puts the magnetic moment at 0.41 Bohr magnetons per cell. The uncorrected formation energy is -0.38 eV/atom.

[6]
Computed, not measured: a geometry-optimized TbPmDyHo structure at the PBE-GGA level of DFT.

a b c (Å): 3.4414 6.7360 5.6225
angles (deg): 90.02 90.00 90.00
Last column: nearest neighbours and their distance in Å.
Positions (direct):
1 Tb 0.5000 0.6903 0.0163  2 Tb 3.44, 4 Ho 3.66, 4 Pm 3.70, 4 Dy 3.75-3.81
2 Pm 0.0000 0.9397 0.5161  2 Ho 3.27-3.47, 2 Dy 3.30, 2 Pm 3.44
3 Dy 0.0000 0.1954 0.0164  2 Pm 3.30, 2 Ho 3.31, 2 Dy 3.44
4 Ho 0.0000 0.4550 0.5165  2 Pm 3.27-3.47, 2 Dy 3.31, 2 Ho 3.44, 2 Tb 3.66

The density comes out at 8.0 g cm⁻³. The calculation puts the energy above the most stable polymorph in this dataset at 4.7 kJ per mole of atoms. The calculation puts the magnetic moment at 0.00 Bohr magnetons per cell.

[7]
Computed, not measured: a geometry-optimized Cd3AgO4 structure at the PBE-GGA level of DFT.

a b c (Å): 4.6623 6.9959 7.8331
angles (deg): 90.00 90.00 90.00
Last column: nearest neighbours and their distance in Å.
Positions (direct):
1 Cd 0.5644 0.8303 0.0000  5 O 2.28-2.33
2 Cd 0.0644 0.6653 0.2536  5 O 2.28-2.33
3 Cd 0.5644 0.3347 0.2464  5 O 2.28-2.33
4 Cd 0.0644 0.1697 0.5000  5 O 2.28-2.33
5 Cd 0.5644 0.3347 0.7536  5 O 2.28-2.33
6 Cd 0.0644 0.6653 0.7464  5 O 2.28-2.33
7 Ag 0.0644 0.1553 0.0000  5 O 2.29-2.35
8 Ag 0.5644 0.8447 0.5000  5 O 2.29-2.35
9 O 0.0644 0.8286 0.0000  1 Ag 2.29, 4 Cd 2.29-2.33
10 O 0.5645 0.1578 0.0000  3 Cd 2.29, 2 Ag 2.33
11 O 0.0644 0.3399 0.2512  4 Cd 2.28-2.33, 1 Ag 2.35
12 O 0.5644 0.6601 0.2488  4 Cd 2.28-2.33, 1 Ag 2.35
13 O 0.0645 0.8422 0.5000  3 Cd 2.29, 2 Ag 2.33
14 O 0.5644 0.1714 0.5000  1 Ag 2.29, 4 Cd 2.29-2.33
15 O 0.5644 0.6601 0.7512  4 Cd 2.28-2.33, 1 Ag 2.35
16 O 0.0644 0.3399 0.7488  4 Cd 2.28-2.33, 1 Ag 2.35

The density comes out at 6.6 g cm⁻³. The calculation puts the magnetic moment at 0.00 Bohr magnetons per cell. The uncorrected formation energy is -0.71 eV/atom.

[8]
Computed, not measured: a geometry-optimized CsTmZnF6 structure at the PBE-GGA level of DFT.

a b c (Å): 8.0414 7.6549 7.8381
angles (deg): 119.23 120.86 90.00
Last column: nearest neighbours and their distance in Å.
Positions (direct):
1 Cs 0.8323 0.5823 0.6646  5 F 3.08-3.41
2 Cs 0.1677 0.4177 0.3354  5 F 3.08-3.41
3 Tm 0.5000 0.0000 0.5000  6 F 2.13-2.17
4 Tm 0.0000 0.0000 0.5000  6 F 2.13-2.17
5 Zn 0.5000 0.5000 0.0000  6 F 2.00-2.10
6 Zn 0.5000 0.0000 0.0000  6 F 2.00-2.10
7 F 0.4463 0.6963 0.8926  2 Zn 2.00
8 F 0.8248 0.0748 0.6496  2 Tm 2.17
9 F 0.8150 0.0865 0.2597  1 Zn 2.10, 1 Tm 2.13
10 F 0.4448 0.6732 0.2597  1 Zn 2.10, 1 Tm 2.13
11 F 0.4448 0.0865 0.2597  1 Zn 2.10, 1 Tm 2.13
12 F 0.8150 0.6732 0.2597  1 Zn 2.10, 1 Tm 2.13
13 F 0.5537 0.3037 0.1074  2 Zn 2.00
14 F 0.1752 0.9252 0.3504  2 Tm 2.17
15 F 0.1850 0.9135 0.7403  1 Zn 2.10, 1 Tm 2.13
16 F 0.5552 0.3268 0.7403  1 Zn 2.10, 1 Tm 2.13
17 F 0.5552 0.9135 0.7403  1 Zn 2.10, 1 Tm 2.13
18 F 0.1850 0.3268 0.7403  1 Zn 2.10, 1 Tm 2.13

The density comes out at 4.7 g cm⁻³. The calculation puts the magnetic moment at 0.00 Bohr magnetons per cell. The uncorrected formation energy is -3.27 eV/atom.

[9]
Computed, not measured: a geometry-optimized MgFe2Ru structure at the PBE-GGA level of DFT.

a b c (Å): 2.6861 2.6861 7.5604
angles (deg): 90.00 90.00 90.00
Last column: nearest neighbours and their distance in Å.
Positions (direct):
1 Fe 0.0000 0.0000 0.9801  4 Ru 2.58, 4 Fe 2.69, 4 Mg 2.79
2 Fe 0.0000 0.0000 0.5199  4 Ru 2.58, 4 Fe 2.69, 4 Mg 2.79
3 Mg 0.5000 0.5000 0.2500  4 Mg 2.69, 8 Fe 2.79
4 Ru 0.5000 0.5000 0.7500  8 Fe 2.58, 4 Ru 2.69

The density comes out at 7.2 g cm⁻³. The calculation puts the magnetic moment at 3.43 Bohr magnetons per cell. The value obtained for the final energy is -26.9 eV/f.u.

[10]
Computed, not measured: a geometry-optimized KMg3 structure at the PBE-GGA level of DFT.

a b c (Å): 6.8811 6.8811 6.8811
angles (deg): 151.11 128.87 59.79
Last column: nearest neighbours and their distance in Å.
Positions (direct):
1 K 0.5000 0.0000 0.5000  8 Mg 3.43-3.75, 2 K 3.43
2 Mg 0.2203 0.2203 0.0000  8 Mg 3.14-3.50
3 Mg 0.7797 0.7797 0.0000  8 Mg 3.14-3.50
4 Mg 0.0000 0.5000 0.5000  6 Mg 3.14-3.43, 4 K 3.43

The density comes out at 1.5 g cm⁻³. The calculation puts the magnetic moment at 0.00 Bohr magnetons per cell. The value obtained for the final energy is -4.9 eV/f.u.

[11]
Computed, not measured: a geometry-optimized BaNa2Tl2 structure at the PBE-GGA level of DFT.

a b c (Å): 9.1243 9.1243 4.2857
angles (deg): 90.00 90.00 90.00
Last column: nearest neighbours and their distance in Å.
Positions (direct):
1 Na 0.1622 0.6622 0.5000  6 Tl 3.41-3.47
2 Na 0.6622 0.8378 0.5000  6 Tl 3.41-3.47
3 Na 0.8378 0.3378 0.5000  6 Tl 3.41-3.47
4 Na 0.3378 0.1622 0.5000  6 Tl 3.41-3.47
5 Tl 0.3742 0.8742 0.0000  1 Tl 3.25, 6 Na 3.41-3.47, 2 Ba 3.60
6 Tl 0.8742 0.6258 0.0000  1 Tl 3.25, 6 Na 3.41-3.47, 2 Ba 3.60
7 Tl 0.6258 0.1258 0.0000  1 Tl 3.25, 6 Na 3.41-3.47, 2 Ba 3.60
8 Tl 0.1258 0.3742 0.0000  1 Tl 3.25, 6 Na 3.41-3.47, 2 Ba 3.60
9 Ba 0.0000 0.0000 0.0000  4 Tl 3.60
10 Ba 0.5000 0.5000 0.0000  4 Tl 3.60

The density comes out at 5.5 g cm⁻³. The calculation puts the energy above the most stable polymorph in this dataset at 6.9 kJ per mole of atoms. The calculation puts the magnetic moment at 0.00 Bohr magnetons per cell.

[12]
Computed, not measured: a geometry-optimized CaSm6Ho2 structure at the PBE-GGA level of DFT.

a b c (Å): 3.6354 3.6354 27.0597
angles (deg): 90.00 90.00 120.00
Last column: nearest neighbours and their distance in Å.
Positions (direct):
1 Ca 0.6667 0.3333 0.0000  6 Ca 3.64, 6 Sm 3.82
2 Sm 0.3333 0.6667 0.1179  9 Sm 3.55-3.64, 3 Ca 3.82
3 Sm 0.6667 0.3333 0.5656  3 Ho 3.48, 7 Sm 3.55-3.64
4 Sm 0.6667 0.3333 0.2236  9 Sm 3.55-3.64, 3 Ho 3.60
5 Sm 0.6667 0.3333 0.7764  9 Sm 3.55-3.64, 3 Ho 3.60
6 Sm 0.6667 0.3333 0.4344  3 Ho 3.48, 7 Sm 3.55-3.64
7 Sm 0.3333 0.6667 0.8821  9 Sm 3.55-3.64, 3 Ca 3.82
8 Ho 0.3333 0.6667 0.6684  6 Sm 3.48-3.60, 6 Ho 3.64
9 Ho 0.3333 0.6667 0.3316  6 Sm 3.48-3.60, 6 Ho 3.64

The density comes out at 6.8 g cm⁻³. The calculation puts the magnetic moment at 0.04 Bohr magnetons per cell. The value obtained for the final energy is -38.9 eV/f.u.